# 1
An optimized crystal structure of Li4Zn2NiPt. Source: OQMD, functional GGA-PBE.

The space group is P-4m2 (No. 115) and the conventional cell measures 4.198, 4.198 and 5.944 Å, with angles of 90.00, 90.00 and 90.00 degrees. The asymmetric unit holds Li at (0.000, 0.000, 0.000), Li at (0.000, 0.500, 0.246), Li at (0.500, 0.500, 0.500), Zn at (0.000, 0.500, 0.761), Ni at (0.500, 0.500, 0.000) and Pt at (0.000, 0.000, 0.500).

The total energy comes out at -3.07 eV per atom.

=====

# 2
An optimized crystal structure of LiPuNi. Source: OQMD, functional GGA-PBE.

The space group is F-43m (No. 216) and the conventional cell measures 6.176, 6.176 and 6.176 Å, with angles of 90.00, 90.00 and 90.00 degrees. The asymmetric unit holds Li at (0.000, 0.000, 0.000), Pu at (0.250, 0.250, 0.250) and Ni at (0.000, 0.000, 0.500).

The value obtained for the polymorph energy (0 for the lowest one) is 423 meV/atom.

=====

# 3
An optimized crystal structure of LiPuNi. Source: OQMD, functional GGA-PBE.

The space group is F-43m (No. 216) and the conventional cell measures 6.208, 6.208 and 6.208 Å, with angles of 90.00, 90.00 and 90.00 degrees. The asymmetric unit holds Li at (0.000, 0.000, 0.000), Pu at (0.000, 0.000, 0.500) and Ni at (0.250, 0.250, 0.750).

The value obtained for the polymorph energy (0 for the lowest one) is 0 meV/atom.

=====

# 4
An optimized crystal structure of RbLiNi. Source: OQMD, functional GGA-PBE.

The space group is F-43m (No. 216) and the conventional cell measures 6.923, 6.923 and 6.923 Å, with angles of 90.00, 90.00 and 90.00 degrees. The asymmetric unit holds Rb at (0.000, 0.000, 0.000), Li at (0.000, 0.000, 0.500) and Ni at (0.250, 0.250, 0.750).

The value obtained for the polymorph energy (0 for the lowest one) is 0 meV/atom.

=====

no.,magnetization (μB/cell),calculated density (g cm⁻³)
1,0.01,6.5
2,26.28,8.7
3,24.78,8.6
4,0.02,3.0